Density functional theory data (GGA-PBE) for a relaxed structure of LiLaCo2As.

- space-group type = P4/mmm, No. 123
- magnetization (μB/f.u.) = 3.1
- energy of formation from the pure elements (eV/f.u.) = 1.0

POSCAR file:
```
LiLaCo2As
1.0
4.420 0.000 0.000
0.000 4.420 0.000
0.000 0.000 4.490
La Li Co As
1 1 2 1
direct
0.500 0.500 0.500 La
0.000 0.000 0.000 Li
0.500 0.000 0.000 Co
0.000 0.500 0.000 Co
0.000 0.000 0.500 As
```